Below is a geometry-optimized ZrAlIO2 structure, with properties calculated at the GGA-PBE level.

Cell and atoms, written as POSCAR:
```
ZrAlIO2
1.0
3.910 0.000 0.000
0.000 3.910 0.000
0.000 0.000 5.357
Zr Al I O
1 1 1 2
direct
0.500 0.500 0.500 Zr
0.000 0.000 0.000 Al
0.000 0.000 0.500 I
0.000 0.500 0.000 O
0.500 0.000 0.000 O
```

Calculated values
Formation energy without anion corrections, kJ/mol of formula units: -375
Total magnetic moment, μB/f.u.: 0.226
DOS(E_F), states/eV/atom: 0.6713
ρ, kg/m³: 5618

---

Below is a geometry-optimized Al2Os2I structure, with properties calculated at the GGA-PBE level.

Cell and atoms, written as POSCAR:
```
Al2Os2I
1.0
3.643 0.000 0.000
0.000 3.643 0.000
1.822 1.822 7.805
Os Al I
2 2 1
direct
0.250 0.750 0.500 Os
0.750 0.250 0.500 Os
0.628 0.628 0.743 Al
0.372 0.372 0.257 Al
0.000 0.000 0.000 I
```

Calculated values
Formation energy without anion corrections, kJ/mol of formula units: 233
Total magnetic moment, μB/f.u.: 0.000
DOS(E_F), states/eV/atom: 1.2801
ρ, kg/m³: 8998

---

Below is a geometry-optimized AlOsI2 structure, with properties calculated at the GGA-PBE level.

Cell and atoms, written as POSCAR:
```
AlOsI2
1.0
9.807 0.000 0.000
0.000 9.807 0.000
4.904 4.904 2.425
Os I Al
2 4 2
direct
0.750 0.250 0.500 Os
0.000 0.000 0.000 Os
0.771 0.125 0.250 I
0.875 0.021 0.750 I
0.979 0.625 0.250 I
0.375 0.229 0.750 I
0.250 0.750 0.500 Al
0.500 0.500 0.000 Al
```

Calculated values
Formation energy without anion corrections, kJ/mol of formula units: 157
Total magnetic moment, μB/f.u.: 0.000
DOS(E_F), states/eV/atom: 0.7190
ρ, kg/m³: 6708

---

Below is a geometry-optimized Al2OsI structure, with properties calculated at the GGA-PBE level.

Cell and atoms, written as POSCAR:
```
Al2OsI
1.0
6.233 0.000 0.000
0.000 6.233 0.000
3.117 3.117 5.933
Al Os I
4 2 2
direct
0.707 0.125 0.250 Al
0.375 0.293 0.750 Al
0.043 0.625 0.250 Al
0.875 0.957 0.750 Al
0.750 0.250 0.500 Os
0.000 0.000 0.000 Os
0.250 0.750 0.500 I
0.500 0.500 0.000 I
```

Calculated values
Formation energy without anion corrections, kJ/mol of formula units: 235
Total magnetic moment, μB/f.u.: 0.000
DOS(E_F), states/eV/atom: 1.1176
ρ, kg/m³: 5346

---

Below is a geometry-optimized Al2OsI structure, with properties calculated at the GGA-PBE level.

Cell and atoms, written as POSCAR:
```
Al2OsI
1.0
0.000 3.302 3.302
3.302 0.000 3.302
3.302 3.302 0.000
Al Os I
2 1 1
direct
0.250 0.250 0.250 Al
0.750 0.750 0.750 Al
0.500 0.500 0.500 Os
0.000 0.000 0.000 I
```

Calculated values
Formation energy without anion corrections, kJ/mol of formula units: 350
Total magnetic moment, μB/f.u.: 0.666
DOS(E_F), states/eV/atom: 0.6789
ρ, kg/m³: 8559

---

Below is a geometry-optimized AlOsI2 structure, with properties calculated at the GGA-PBE level.

Cell and atoms, written as POSCAR:
```
AlOsI2
1.0
0.000 3.519 3.519
3.519 0.000 3.519
3.519 3.519 0.000
Al I Os
1 2 1
direct
0.000 0.000 0.000 Al
0.750 0.750 0.750 I
0.250 0.250 0.250 I
0.500 0.500 0.500 Os
```

Calculated values
Formation energy without anion corrections, kJ/mol of formula units: 490
Total magnetic moment, μB/f.u.: 0.001
DOS(E_F), states/eV/atom: 1.5039
ρ, kg/m³: 8975

---

What did the fourth record say?
Below is a geometry-optimized Al2OsI structure, with properties calculated at the GGA-PBE level.

Cell and atoms, written as POSCAR:
```
Al2OsI
1.0
6.233 0.000 0.000
0.000 6.233 0.000
3.117 3.117 5.933
Al Os I
4 2 2
direct
0.707 0.125 0.250 Al
0.375 0.293 0.750 Al
0.043 0.625 0.250 Al
0.875 0.957 0.750 Al
0.750 0.250 0.500 Os
0.000 0.000 0.000 Os
0.250 0.750 0.500 I
0.500 0.500 0.000 I
```

Calculated values
Formation energy without anion corrections, kJ/mol of formula units: 235
Total magnetic moment, μB/f.u.: 0.000
DOS(E_F), states/eV/atom: 1.1176
ρ, kg/m³: 5346

---

Question: Among the records above, which one has the highest formation energy without anion corrections?
Answer: number 6